Record 1
This record from the Alexandria database describes crystalline TlPbCl2 at its relaxed geometry. The functional is PBE.

Cell and atoms, written as CIF:
```
data_TlPbCl2
_chemical_formula_sum 'Tl2 Pb2 Cl4'
_cell_length_a 4.345
_cell_length_b 5.928
_cell_length_c 9.309
_cell_angle_alpha 90.00
_cell_angle_beta 90.00
_cell_angle_gamma 90.00
_space_group_name_H-M_alt 'I m m m'
_space_group_IT_number 71
_space_group_name_Hall '-I 2 2'
loop_
_atom_site_label
_atom_site_type_symbol
_atom_site_fract_x
_atom_site_fract_y
_atom_site_fract_z
Tl1 Tl 0.000 0.000 0.000
Pb1 Pb 0.000 0.000 0.500
Cl1 Cl 0.000 0.500 0.209
```

## Properties
Magnetic moment: 0.00 Bohr magnetons per cell
ΔE_f (raw): -286 kJ/mol of formula units
ΔE to the lowest computed polymorph: 69 meV per atom

=====

Record 2
This record from the Alexandria database describes crystalline SrCu2Cl4 at its relaxed geometry. The functional is PBE.

Cell and atoms, written as CIF:
```
data_SrCu2Cl4
_chemical_formula_sum 'Sr2 Cu4 Cl8'
_cell_length_a 7.433
_cell_length_b 7.433
_cell_length_c 6.089
_cell_angle_alpha 90.00
_cell_angle_beta 90.00
_cell_angle_gamma 90.00
_space_group_name_H-M_alt 'I 4/m'
_space_group_IT_number 87
_space_group_name_Hall '-I 4'
loop_
_atom_site_label
_atom_site_type_symbol
_atom_site_fract_x
_atom_site_fract_y
_atom_site_fract_z
Sr1 Sr 0.000 0.000 0.000
Cu1 Cu 0.000 0.500 0.250
Cl1 Cl 0.155 0.315 0.500
```

## Properties
Magnetic moment: 0.20 Bohr magnetons per cell
ΔE_f (raw): -793 kJ/mol of formula units
ΔE to the lowest computed polymorph: 85 meV per atom

=====

Record 3
This record from the Alexandria database describes crystalline YBe17V at its relaxed geometry. The functional is PBE.

Cell and atoms, written as CIF:
```
data_YBe17V
_chemical_formula_sum 'Y3 Be51 V3'
_cell_length_a 7.4841
_cell_length_b 7.4841
_cell_length_c 10.9173
_cell_angle_alpha 90.00
_cell_angle_beta 90.00
_cell_angle_gamma 120.00
_space_group_name_H-M_alt 'R 3 m'
_space_group_IT_number 160
_space_group_name_Hall 'R 3 -2"'
loop_
_atom_site_label
_atom_site_type_symbol
_atom_site_fract_x
_atom_site_fract_y
_atom_site_fract_z
Y1 Y 0.0000 0.0000 0.0000
Be1 Be 0.0000 0.0000 0.5593
Be2 Be 0.0000 0.0000 0.7528
Be3 Be 0.0025 0.5012 0.1597
Be4 Be 0.0466 0.3745 0.3279
Be5 Be 0.1699 0.3399 0.1516
Be6 Be 0.1706 0.3411 0.8388
V1 V 0.0000 0.0000 0.3294
```

## Properties
Magnetic moment: 0.00 Bohr magnetons per cell
Energy of formation: -108 meV/atom

=====

Record 4
This record from the Alexandria database describes crystalline Ce2TeF3 at its relaxed geometry. The functional is PBE.

Cell and atoms, written as CIF:
```
data_Ce2TeF3
_chemical_formula_sum 'Ce8 Te4 F12'
_cell_length_a 15.452
_cell_length_b 4.123
_cell_length_c 8.195
_cell_angle_alpha 90.00
_cell_angle_beta 113.64
_cell_angle_gamma 90.00
_space_group_name_H-M_alt 'C 1 2/m 1'
_space_group_IT_number 12
_space_group_name_Hall '-C 2y'
loop_
_atom_site_label
_atom_site_type_symbol
_atom_site_fract_x
_atom_site_fract_y
_atom_site_fract_z
Ce1 Ce 0.026 0.000 0.228
Ce2 Ce 0.196 0.500 0.683
Te1 Te 0.138 0.500 0.050
F1 F 0.058 0.500 0.402
F2 F 0.103 0.000 0.670
F3 F 0.190 0.000 0.457
```

## Properties
Magnetic moment: 11.99 Bohr magnetons per cell
ΔE_f (raw): -1763 kJ/mol of formula units

=====

Record 5
This record from the Alexandria database describes crystalline AcSm4Er5 at its relaxed geometry. The functional is PBE.

Cell and atoms, written as CIF:
```
data_AcSm4Er5
_chemical_formula_sum 'Ac2 Sm8 Er10'
_cell_length_a 17.223
_cell_length_b 3.590
_cell_length_c 11.245
_cell_angle_alpha 90.00
_cell_angle_beta 90.72
_cell_angle_gamma 90.00
_space_group_name_H-M_alt 'C 1 2/m 1'
_space_group_IT_number 12
_space_group_name_Hall '-C 2y'
loop_
_atom_site_label
_atom_site_type_symbol
_atom_site_fract_x
_atom_site_fract_y
_atom_site_fract_z
Ac1 Ac 0.000 0.000 0.000
Sm1 Sm 0.029 0.500 0.742
Sm2 Sm 0.154 0.000 0.250
Er1 Er 0.000 0.000 0.500
Er2 Er 0.173 0.500 0.545
Er3 Er 0.177 0.500 0.943
```

## Properties
Magnetic moment: 0.00 Bohr magnetons per cell
Energy of formation: 221 meV/atom
ΔE to the lowest computed polymorph: 0 meV per atom

=====

Record 6
This record from the Alexandria database describes crystalline Tl5Hg6Te at its relaxed geometry. The functional is PBE.

Cell and atoms, written as CIF:
```
data_Tl5Hg6Te
_chemical_formula_sum 'Tl10 Hg12 Te2'
_cell_length_a 9.703
_cell_length_b 16.294
_cell_length_c 5.510
_cell_angle_alpha 90.00
_cell_angle_beta 124.34
_cell_angle_gamma 90.00
_space_group_name_H-M_alt 'C 1 2/m 1'
_space_group_IT_number 12
_space_group_name_Hall '-C 2y'
loop_
_atom_site_label
_atom_site_type_symbol
_atom_site_fract_x
_atom_site_fract_y
_atom_site_fract_z
Tl1 Tl 0.000 0.000 0.000
Tl2 Tl 0.000 0.181 0.500
Tl3 Tl 0.000 0.360 0.000
Hg1 Hg 0.217 0.000 0.715
Hg2 Hg 0.236 0.167 0.236
Te1 Te 0.000 0.500 0.500
```

## Properties
Magnetic moment: 0.00 Bohr magnetons per cell
ΔE_f (raw): -46 kJ/mol of formula units

=====

Number 1: ρ 6.68 g/cm³. Number 2: ρ 3.52 g/cm³. Number 3: ρ 2.76 g/cm³. Number 4: ρ 6.46 g/cm³. Number 5: ρ 7.95 g/cm³. Number 6: ρ 10.86 g/cm³.